Computed, not measured: a relaxed structure of PuMoO4 at the PBE with a Hubbard U level of DFT.

Lattice parameters (Å, degrees): 4.8863 4.8863 3.4253 90.00 90.00 90.15
Atoms (fractional coordinates):
Pu  0.0000  0.0000  0.0000
Mo  0.5000  0.5000  0.5000
O  0.1967  0.8033  0.5000
O  0.3112  0.3112  0.0000
O  0.6888  0.6888  0.0000
O  0.8033  0.1967  0.5000

Values from the calculation:
**Total DFT energy (no corrections)**: -55.4 eV per cell
**Fermi-level density of states**: 3.90 states/eV per cell
**Space-group type**: Cmmm, No. 65